A plane-wave DFT calculation with PBE-GGA was carried out for a relaxed ZrTe3As crystal.

Cell and atoms, written as extended XYZ:
```
5
Lattice="5.599 0.000 0.000 0.000 5.599 0.000 0.000 0.000 5.599" Properties=species:S:1:pos:R:3 pbc="T T T"
Zr 0.000 0.000 0.000
Te 0.000 0.000 2.799
Te 0.000 2.799 0.000
Te 2.799 0.000 0.000
As 2.799 2.799 2.799
```

Output
* crystal system: cubic
* energy above the most stable polymorph in this dataset: 0.0 meV/atom
* SG: Pm-3m (221)

A plane-wave DFT calculation with PBE-GGA was carried out for a relaxed ZrTe2As crystal.

Cell and atoms, written as extended XYZ:
```
4
Lattice="-1.958 2.027 7.553 1.958 -2.027 7.553 1.958 2.027 -7.553" Properties=species:S:1:pos:R:3 pbc="T T T"
Zr 0.000 0.000 0.000
Te 0.000 0.000 6.275
Te 0.000 2.027 2.234
As 1.958 0.000 2.098
```

Output
* crystal system: orthorhombic
* SG: Imm2 (44)

A plane-wave DFT calculation with PBE-GGA was carried out for a relaxed ZrTe2As crystal.

Cell and atoms, written as extended XYZ:
```
4
Lattice="2.911 -3.015 0.000 2.911 3.015 0.000 0.000 0.000 5.810" Properties=species:S:1:pos:R:3 pbc="T T T"
Zr 0.000 0.000 0.000
Te 2.911 1.548 2.905
Te 2.911 -1.548 2.905
As 2.911 0.000 0.000
```

Output
* crystal system: orthorhombic
* SG: Cmmm (65)

A plane-wave DFT calculation with PBE-GGA was carried out for a relaxed ZrTe2As crystal.

Cell and atoms, written as extended XYZ:
```
4
Lattice="1.803 1.041 9.269 -1.803 1.041 9.269 0.000 -2.082 9.269" Properties=species:S:1:pos:R:3 pbc="T T T"
Zr 0.000 0.000 0.000
Te 0.000 0.000 7.262
Te 0.000 0.000 13.344
As 0.000 0.000 20.368
```

Output
* crystal system: trigonal
* SG: R3m (160)

Number 1: formation energy from raw total energies 5.921 kcal/mol of atoms. Number 2: formation energy from raw total energies -12.791 kcal/mol of atoms. Number 3: formation energy from raw total energies -2.707 kcal/mol of atoms. Number 4: formation energy from raw total energies -6.373 kcal/mol of atoms.